# TaCd2P2

An optimized crystal structure of TaCd2P2 (GGA-PBE, Alexandria via LeMat-Bulk).

extended XYZ file:
```
10
Lattice="-1.1473 5.0208 4.0138 -5.2186 1.6529 -3.5594 -2.4798 -2.5329 2.4596" Properties=species:S:1:pos:R:3 pbc="T T T"
P -4.9496 3.2799 -1.6126
P -4.2956 5.4014 1.2316
P -1.4164 3.3938 2.0670
P -2.0704 1.2723 -0.7772
Cd -5.0537 0.8227 -0.4639
Cd -6.2619 3.5341 1.1102
Cd -3.7920 3.3181 3.3779
Cd -2.5839 0.6067 1.8038
Ta 0.0000 0.0000 0.0000
Ta -3.1830 3.3369 0.2272
```

Results
DOS at the Fermi energy (states/eV/cell): 5.80
Energy of formation (eV per atom): 0.061
V (Å³/cell): 183.9